No. 1
Li2In2Pd5 | PBE-GGA | optimized geometry

Structure (CIF):
```
data_Li2In2Pd5
_chemical_formula_sum 'Li8 In8 Pd20'
_cell_length_a 13.706
_cell_length_b 6.818
_cell_length_c 6.851
_cell_angle_alpha 90.00
_cell_angle_beta 90.00
_cell_angle_gamma 90.00
_symmetry_space_group_name_H-M 'I m a 2'
_symmetry_Int_Tables_number 46
_symmetry_space_group_name_Hall 'I 2 -2a'
loop_
_atom_site_label
_atom_site_type_symbol
_atom_site_fract_x
_atom_site_fract_y
_atom_site_fract_z
Li1 Li 0.000 0.000 0.000
Li2 Li 0.250 0.036 0.996
In1 In 0.131 0.524 0.130
Pd1 Pd 0.045 0.682 0.815
Pd2 Pd 0.150 0.174 0.292
Pd3 Pd 0.250 0.688 0.816
```

M_tot = 0.00 μB/cell
ΔE_f = -0.316 eV/atom

=====

No. 2
KNaTa2Ir | PBE-GGA | optimized geometry

Structure (CIF):
```
data_KNaTa2Ir
_chemical_formula_sum 'K1 Na1 Ta2 Ir1'
_cell_length_a 4.864
_cell_length_b 4.864
_cell_length_c 4.824
_cell_angle_alpha 90.00
_cell_angle_beta 90.00
_cell_angle_gamma 90.00
_symmetry_space_group_name_H-M 'P 4/m m m'
_symmetry_Int_Tables_number 123
_symmetry_space_group_name_Hall '-P 4 2'
loop_
_atom_site_label
_atom_site_type_symbol
_atom_site_fract_x
_atom_site_fract_y
_atom_site_fract_z
K1 K 0.000 0.000 0.000
Na1 Na 0.500 0.500 0.500
Ta1 Ta 0.000 0.500 0.500
Ir1 Ir 0.500 0.500 0.000
```

M_tot = 0.00 μB/cell
ΔE_f = 2.460 eV/atom

=====

No. 3
ThScSn2 | PBE-GGA | optimized geometry

Structure (CIF):
```
data_ThScSn2
_chemical_formula_sum 'Th3 Sc3 Sn6'
_cell_length_a 3.5051
_cell_length_b 3.5051
_cell_length_c 29.9330
_cell_angle_alpha 90.00
_cell_angle_beta 90.00
_cell_angle_gamma 120.00
_symmetry_space_group_name_H-M 'R -3 m'
_symmetry_Int_Tables_number 166
_symmetry_space_group_name_Hall '-R 3 2"'
loop_
_atom_site_label
_atom_site_type_symbol
_atom_site_fract_x
_atom_site_fract_y
_atom_site_fract_z
Th1 Th 0.0000 0.0000 0.0000
Sc1 Sc 0.0000 0.0000 0.5000
Sn1 Sn 0.0000 0.0000 0.2433
```

M_tot = 0.00 μB/cell
excess energy over the best structure of this formula in the dataset = 0.132 eV per atom
ΔE_f = -0.389 eV/atom